Density functional theory data (GGA-PBE) for a geometry-optimized YBe2Se structure.

It has space group I-4m2 (No. 119), with a = 3.897 Å, b = 3.897 Å, c = 8.929 Å, α = 90.00°, β = 90.00° and γ = 90.00°. The distinct sites, in fractional coordinates, are Y at (0.000, 0.000, 0.000), Be at (0.000, 0.000, 0.500), Be at (0.000, 0.500, 0.750) and Se at (0.000, 0.500, 0.250).

The density of states at the Fermi level is 0.220 states/eV/atom. For the energy relative to the elements, uncorrected, the calculation gives -0.030 eV/atom. For the magnetization, the calculation gives 0.00 μB/f.u. The calculation puts the total energy at -0.3219 Ry/atom. Its density is 4.554 g cm⁻³.